NaVPb2O after structural relaxation, computed with GGA+U.

Cell: 5.6594 5.6594 3.7311 Å, 90.00 90.00 90.00°
With the nearest neighbours (Å) after each atom.
Element x y z (fractional)
Na 0.0000 0.0000 0.0000  8 Pb 3.39, 2 Na 3.73
V 0.5000 0.5000 0.0000  2 O 1.87
Pb 0.0000 0.5000 0.5000  2 O 2.83
Pb 0.5000 0.0000 0.5000  2 O 2.83
O 0.5000 0.5000 0.5000  2 V 1.87

Volume, Å³ per cell: 120
Energy, eV/cell: -21.44
Space-group type: No. 123
Crystal system: tetragonal